# Gd2PuIr PBE-GGA relaxed
# Magnetization, μB per formula unit: 21.30
# Calculated total energy, eV/atom: -13.14
# DFT formation energy, eV per formula unit: -1.22
data_Gd2PuIr
_cell_length_a 3.511
_cell_length_b 3.511
_cell_length_c 8.496
_cell_angle_alpha 90.00
_cell_angle_beta 90.00
_cell_angle_gamma 90.00
_symmetry_space_group_name_H-M 'P 1'
_symmetry_Int_Tables_number 1
loop_
_symmetry_equiv_pos_as_xyz
'x,y,z'
loop_
_atom_site_label
_atom_site_type_symbol
_atom_site_fract_x
_atom_site_fract_y
_atom_site_fract_z
_atom_site_occupancy
Gd1 Gd 0.000 0.000 0.193 1
Gd2 Gd 0.000 0.000 0.807 1
Pu1 Pu 0.500 0.500 0.500 1
Ir1 Ir 0.500 0.500 0.000 1